No. 1
VASP calculation (PBE) on a geometry-optimized RbLiHoF6 structure.

abc: 7.553 7.485 7.138
angles: 121.62 121.94 90.00
Last column: magnetic moment on the atom in μB.
Positions (direct):
F 0.401 0.151 0.802  0.01
F 0.845 0.143 0.260  0.23
F 0.415 0.617 0.260  0.23
F 0.599 0.849 0.198  0.01
F 0.845 0.617 0.260  0.23
F 0.415 0.143 0.260  0.23
F 0.585 0.383 0.740  0.23
F 0.127 0.877 0.253  0.00
F 0.873 0.123 0.747  0.00
F 0.155 0.383 0.740  0.23
F 0.585 0.857 0.740  0.23
F 0.155 0.857 0.740  0.23
Rb 0.168 0.418 0.337  0.00
Rb 0.832 0.582 0.663  0.00
Ho 0.000 0.000 0.500  -0.02
Ho 0.500 0.000 0.500  -0.02
Li 0.500 0.000 0.000  0.00
Li 0.500 0.500 0.000  0.00

Summary:
**Energy**: -5.1576 eV/atom

=====

No. 2
VASP calculation (PBE) on a geometry-optimized RbLiHo2F8 structure.

abc: 4.244 6.380 7.281
angles: 96.07 87.02 89.81
Positions (direct):
F 0.182 0.839 0.809
F 0.545 0.698 0.499
F 0.616 0.692 0.029
F 0.455 0.302 0.501
F 0.068 0.566 0.267
F 0.818 0.161 0.191
F 0.932 0.434 0.733
F 0.384 0.308 0.971
Ho 0.426 0.538 0.759
Ho 0.574 0.462 0.241
Li 0.000 0.000 0.000
Rb 0.000 0.000 0.500

Summary:
**Energy**: -5.9439 eV/atom

=====

No. 3
VASP calculation (PBE) on a geometry-optimized LiHoSnF6 structure.

abc: 5.565 5.565 5.248
angles: 90.00 90.00 59.99
Positions (direct):
F 0.348 0.643 0.279
F 0.009 0.643 0.721
F 0.009 0.348 0.279
F 0.348 0.009 0.721
F 0.643 0.348 0.721
F 0.643 0.009 0.279
Sn 0.000 0.000 0.000
Li 0.333 0.333 0.500
Ho 0.667 0.667 0.500

Summary:
**Energy**: -5.6141 eV/atom

=====

No. 4
VASP calculation (PBE) on a geometry-optimized Ho3LuF structure.

abc: 4.986 4.986 4.986
angles: 90.00 90.00 90.00
Positions (direct):
Ho 0.000 0.500 0.000
Ho 0.500 0.000 0.000
Ho 0.000 0.000 0.500
Lu 0.500 0.500 0.500
F 0.000 0.000 0.000

Summary:
**Energy**: -4.9360 eV/atom

=====

No. 5
VASP calculation (PBE) on a geometry-optimized Ho2LuF structure.

abc: 3.645 3.645 8.585
angles: 77.74 77.74 60.00
Positions (direct):
F 0.000 0.000 0.000
Ho 0.276 0.276 0.171
Ho 0.724 0.724 0.829
Lu 0.500 0.500 0.500

Summary:
**Energy**: -5.0179 eV/atom

=====

No. 6
VASP calculation (PBE) on a geometry-optimized Ho2MgF8 structure.

abc: 3.362 5.727 8.110
angles: 88.05 101.96 90.00
Positions (direct):
Ho 0.154 0.658 0.308
Ho 0.846 0.342 0.692
Mg 0.500 0.000 0.000
F 0.626 0.934 0.252
F 0.016 0.785 0.032
F 0.374 0.066 0.748
F 0.607 0.462 0.214
F 0.756 0.673 0.512
F 0.393 0.538 0.786
F 0.244 0.327 0.488
F 0.984 0.215 0.968

Summary:
**Energy**: -6.2202 eV/atom

=====

No. 7
VASP calculation (PBE) on a geometry-optimized HoMgF4 structure.

abc: 3.560 3.617 6.673
angles: 121.97 90.00 90.00
Positions (direct):
F 0.000 0.775 0.282
F 0.500 0.272 0.279
F 0.500 0.728 0.721
F 0.000 0.225 0.718
Mg 0.000 0.500 0.500
Ho 0.500 0.500 0.000

Summary:
**Energy**: -5.6378 eV/atom

=====

No. 8
VASP calculation (PBE) on a geometry-optimized Rb2HoMgF6 structure.

abc: 6.499 5.934 8.677
angles: 90.00 90.00 90.00
Last column: magnetic moment on the atom in μB.
Positions (direct):
Ho 0.500 0.250 0.500  0.34
Ho 0.000 0.750 0.000  0.34
Rb 0.000 0.250 0.745  0.01
Rb 0.000 0.250 0.255  0.01
Rb 0.500 0.750 0.755  0.01
Rb 0.500 0.750 0.245  0.01
Mg 0.500 0.250 0.000  0.00
Mg 0.000 0.750 0.500  0.00
F 0.718 0.993 0.000  0.01
F 0.500 0.250 0.757  0.00
F 0.782 0.007 0.500  0.01
F 0.218 0.493 0.500  0.01
F 0.500 0.250 0.243  0.00
F 0.000 0.750 0.257  0.00
F 0.282 0.993 0.000  0.01
F 0.000 0.750 0.743  0.00
F 0.782 0.493 0.500  0.01
F 0.282 0.507 0.000  0.01
F 0.218 0.007 0.500  0.01
F 0.718 0.507 0.000  0.01

Summary:
**Energy**: -5.0686 eV/atom

=====

No. 9
VASP calculation (PBE) on a geometry-optimized Rb2HoMg3F12 structure.

abc: 7.580 7.580 7.580
angles: 59.33 59.33 59.33
Last column: magnetic moment on the atom in μB.
Positions (direct):
Rb 0.381 0.381 0.381  0.00
Rb 0.619 0.619 0.619  0.00
F 0.691 0.075 0.691  0.14
F 0.917 0.917 0.346  0.03
F 0.346 0.917 0.917  0.03
F 0.083 0.654 0.083  0.03
F 0.917 0.346 0.917  0.03
F 0.075 0.691 0.691  0.14
F 0.654 0.083 0.083  0.03
F 0.925 0.309 0.309  0.14
F 0.083 0.083 0.654  0.03
F 0.309 0.925 0.309  0.14
F 0.691 0.691 0.075  0.14
F 0.309 0.309 0.925  0.14
Mg 0.500 0.000 0.000  0.00
Mg 0.000 0.000 0.500  0.00
Mg 0.000 0.500 0.000  0.00
Ho 0.000 0.000 0.000  0.00

Summary:
**Energy**: -5.1681 eV/atom